Material: GaSi
Method: DFT, PBE
State: optimized geometry

Properties
Symmetry   No. 225
ΔE to the lowest computed polymorph   228 meV/atom
Formation energy from raw total energies   330 meV/atom
V   17.80 A^3/atom
DOS(E_F)   0.97 states/eV/cell

a = 3.6922 Å, b = 3.6922 Å, c = 3.6922 Å
α = 60.00°, β = 60.00°, γ = 60.00°
Element x y z (fractional)
Ga  0.0000  0.0000  0.0000
Si  0.5000  0.5000  0.5000

=====

Material: GaSi3
Method: DFT, PBE
State: optimized geometry

Properties
Symmetry   No. 1
ΔE to the lowest computed polymorph   27 meV/atom
Formation energy from raw total energies   209 meV/atom
V   19.69 A^3/atom
DOS(E_F)   0.82 states/eV/cell

a = 4.4159 Å, b = 5.6467 Å, c = 7.1696 Å
α = 86.19°, β = 72.10°, γ = 68.00°
Element x y z (fractional)
Ga  0.0000  0.0000  0.0000
Ga  0.0428  0.4889  0.0743
Si  0.1813  0.1905  0.3380
Si  0.3036  0.4955  0.4870
Si  0.5868  0.7788  0.3510
Si  0.6238  0.5064  0.8916
Si  0.7164  0.2207  0.6312
Si  0.7397  0.7942  0.6422

=====

Material: GaSi
Method: DFT, PBE
State: optimized geometry

Properties
Symmetry   No. 223
ΔE to the lowest computed polymorph   356 meV/atom
Formation energy from raw total energies   458 meV/atom
V   28.12 A^3/atom
DOS(E_F)   11.16 states/eV/cell

a = 6.9616 Å, b = 6.9616 Å, c = 6.9616 Å
α = 90.00°, β = 90.00°, γ = 90.00°
Element x y z (fractional)
Ga  0.0000  0.2500  0.5000
Ga  0.0000  0.7500  0.5000
Ga  0.2500  0.5000  0.0000
Ga  0.5000  0.0000  0.2500
Ga  0.5000  0.0000  0.7500
Ga  0.7500  0.5000  0.0000
Si  0.0000  0.5000  0.2500
Si  0.0000  0.5000  0.7500
Si  0.2500  0.0000  0.5000
Si  0.5000  0.2500  0.0000
Si  0.5000  0.7500  0.0000
Si  0.7500  0.0000  0.5000

=====

Material: GaSi3
Method: DFT, PBE
State: optimized geometry

Properties
Symmetry   No. 139
ΔE to the lowest computed polymorph   275 meV/atom
Formation energy from raw total energies   457 meV/atom
V   15.96 A^3/atom
DOS(E_F)   1.55 states/eV/cell

a = 5.3175 Å, b = 5.3175 Å, c = 5.3175 Å
α = 139.10°, β = 139.10°, γ = 59.22°
Element x y z (fractional)
Ga  0.0000  0.0000  0.0000
Si  0.2500  0.7500  0.5000
Si  0.5000  0.5000  0.0000
Si  0.7500  0.2500  0.5000